## EuAgAu2 (PBE)

Data for a relaxed structure of EuAgAu2.

Calculated values
For the total energy, the calculation gives -5.364 eV per atom. Its symmetry is P4/mmm, No. 123. The density of states at the Fermi level is 3.281 states/eV/atom. The energy of formation comes out at -1.78 eV per formula unit.

Cell and atoms, written as POSCAR:
```
EuAgAu2
1.0
3.6496 0.0000 0.0000
0.0000 3.6496 0.0000
0.0000 0.0000 6.6178
Eu Ag Au
1 1 2
Direct
0.0000 0.0000 0.0000
0.0000 0.0000 0.5000
0.5000 0.5000 0.2814
0.5000 0.5000 0.7186
```